Crystalline LiLa3Sm2Se6 at its relaxed geometry. Source: Alexandria, functional PBE-GGA.

Values from the calculation:
- calculated density (Mg/m³) = 6.241
- energy relative to the elements, uncorrected (kJ per mole of atoms) = -179.5

abc: 7.315 12.702 7.289
angles: 90.00 109.69 90.00
Space group C2/m (No. 12)
Symmetry-distinct sites (fractional):
Li  0.000  0.000  0.000 x2
La  0.000  0.168  0.500 x4
La  0.000  0.500  0.500 x2
Sm  0.000  0.334  0.000 x4
Se  0.240  0.162  0.235 x8
Se  0.245  0.000  0.765 x4